Record 1
# RhWSe2

Crystalline RhWSe2 at its relaxed geometry (PBE, the Alexandria database).

The space group is Cm (No. 8) and the conventional cell measures 9.5616, 3.2512 and 5.7036 Å, with angles of 90.00, 98.00 and 90.00 degrees. Symmetry generates all atoms from Rh at (0.0000, 0.0000, 0.0000), W at (0.2120, 0.5000, 0.0127), Se at (0.1565, 0.0000, 0.6826) and Se at (0.3797, 0.0000, 0.2713).

For the density, the calculation gives 8.4 g cm⁻³. The calculation puts the formation energy from raw total energies at 0.03 eV/atom. Its offset from the most stable computed form is 0.247 eV per atom. The calculation puts the density of states at the Fermi level at 2.588 states/eV/f.u. The value obtained for the size of the total moment is 0.00 μB/atom.

---

Record 2
# Rh2WSe

Crystalline Rh2WSe at its relaxed geometry (PBE, the Alexandria database).

The space group is P4/mmm (No. 123) and the conventional cell measures 4.7171, 4.7171 and 2.8260 Å, with angles of 90.00, 90.00 and 90.00 degrees. Symmetry generates all atoms from Rh at (0.0000, 0.5000, 0.0000), W at (0.0000, 0.0000, 0.5000) and Se at (0.5000, 0.5000, 0.5000).

For the density, the calculation gives 12.4 g cm⁻³. The calculation puts the formation energy from raw total energies at 0.30 eV/atom. The calculation puts the density of states at the Fermi level at 4.470 states/eV/f.u. The value obtained for the size of the total moment is 0.00 μB/atom.

---

Record 3
# RhWSe

Crystalline RhWSe at its relaxed geometry (PBE, the Alexandria database).

The space group is Amm2 (No. 38) and the conventional cell measures 12.7600, 3.0440 and 5.2716 Å, with angles of 90.00, 90.00 and 90.00 degrees. Symmetry generates all atoms from Rh at (0.1573, 0.0000, 0.0000), W at (0.0000, 0.0000, 0.6665), W at (0.5000, 0.0000, 0.3348) and Se at (0.3588, 0.0000, 0.0015).

For the density, the calculation gives 11.9 g cm⁻³. The calculation puts the formation energy from raw total energies at -0.03 eV/atom. Its offset from the most stable computed form is 0.000 eV per atom. The calculation puts the density of states at the Fermi level at 1.448 states/eV/f.u. The value obtained for the size of the total moment is 0.00 μB/atom.

---

Record 4
# RhW3Se

Crystalline RhW3Se at its relaxed geometry (PBE, the Alexandria database).

The space group is Pm-3m (No. 221) and the conventional cell measures 4.5499, 4.5499 and 4.5499 Å, with angles of 90.00, 90.00 and 90.00 degrees. Symmetry generates all atoms from Rh at (0.0000, 0.0000, 0.0000), W at (0.0000, 0.5000, 0.5000) and Se at (0.5000, 0.5000, 0.5000).

For the density, the calculation gives 12.9 g cm⁻³. The calculation puts the formation energy from raw total energies at 1.70 eV/atom. Its offset from the most stable computed form is 0.000 eV per atom. The calculation puts the density of states at the Fermi level at 8.034 states/eV/f.u. The value obtained for the size of the total moment is 0.00 μB/atom.

---

Record 5
# RhWSe2

Crystalline RhWSe2 at its relaxed geometry (PBE, the Alexandria database).

The space group is Cm (No. 8) and the conventional cell measures 17.3481, 3.3085 and 6.3827 Å, with angles of 90.00, 104.29 and 90.00 degrees. Symmetry generates all atoms from Rh at (0.0000, 0.0000, 0.0000), Rh at (0.0559, 0.5000, 0.7076), W at (0.4017, 0.0000, 0.6932), W at (0.4449, 0.5000, 0.4269), Se at (0.0896, 0.0000, 0.4405), Se at (0.1356, 0.0000, 0.9682), Se at (0.3000, 0.5000, 0.4877) and Se at (0.3964, 0.0000, 0.0968).

For the density, the calculation gives 8.3 g cm⁻³. The calculation puts the formation energy from raw total energies at -0.22 eV/atom. Its offset from the most stable computed form is 0.000 eV per atom. The calculation puts the density of states at the Fermi level at 1.333 states/eV/f.u. The value obtained for the size of the total moment is 0.00 μB/atom.

---

Record 6
# RhWSe

Crystalline RhWSe at its relaxed geometry (PBE, the Alexandria database).

The space group is I4mm (No. 107) and the conventional cell measures 3.0159, 3.0159 and 10.5155 Å, with angles of 90.00, 90.00 and 90.00 degrees. Symmetry generates all atoms from Rh at (0.0000, 0.0000, 0.0000), W at (0.0000, 0.0000, 0.3407) and Se at (0.0000, 0.0000, 0.6901).

For the density, the calculation gives 12.7 g cm⁻³. The calculation puts the formation energy from raw total energies at 0.06 eV/atom. Its offset from the most stable computed form is 0.091 eV per atom. The calculation puts the density of states at the Fermi level at 1.849 states/eV/f.u. The value obtained for the size of the total moment is 0.00 μB/atom.